(1)
Density functional theory data (GGA-PBE) for a relaxed Zn2HgBN crystal.

```
Zn2HgBN
1.0
-0.677 -3.039 2.135
5.069 0.951 2.962
-1.855 2.156 2.482
Zn B Hg N
2 1 1 1
Direct
0.000 0.000 0.500
0.500 0.000 0.000
0.500 0.500 0.500
0.000 0.500 0.000
0.000 0.000 0.000
```

Density of states at the Fermi level: 1.881 states/eV/f.u.
Calculated total energy: -2.527 eV/atom

---

(2)
Density functional theory data (GGA-PBE) for a relaxed K2CoNi crystal.

```
K2CoNi
1.0
-2.302 1.234 1.359
-1.797 -1.959 -1.266
1.314 -6.396 8.032
Co K Ni
1 2 1
Direct
0.500 0.500 0.750
0.000 0.000 0.010
0.000 0.000 0.490
0.500 0.500 0.250
```

Density of states at the Fermi level: 4.355 states/eV/f.u.
Distance to the lowest polymorph of the same formula: 606.4 meV/atom
Energy of formation: 1138 meV per atom

---

(3)
Density functional theory data (GGA-PBE) for a relaxed ScAl2Pd4 crystal.

```
ScAl2Pd4
1.0
4.775 0.000 0.000
0.000 4.775 0.000
2.387 2.387 6.281
Sc Al Pd
1 2 4
Direct
0.000 0.000 0.000
0.393 0.393 0.215
0.607 0.607 0.785
0.201 0.201 0.599
0.799 0.799 0.401
0.000 0.500 0.000
0.500 0.000 0.000
```

Density of states at the Fermi level: 3.621 states/eV/f.u.
Energy of formation: 68 meV per atom